Below is Er4Se5F after structural relaxation, with properties calculated at the GGA-PBE level.

a b c (Å): 4.0649 10.7727 7.7751
angles (deg): 107.54 105.15 90.00
Last column: nearest neighbours and their distance in Å.
Fractional coordinates of all 10 atoms:
Er: 0.3493 0.9211 0.6986  1 F 2.15
Er: 0.9948 0.6735 0.9897  4 Se 2.69-2.78
Er: 0.6507 0.0789 0.3014  1 F 2.15
Er: 0.0052 0.3265 0.0103  4 Se 2.69-2.78
Se: 0.8356 0.7376 0.6712  3 Er 2.69-2.80
Se: 0.8496 0.1125 0.6992  4 Er 2.72-2.89
Se: 0.1504 0.8875 0.3008  4 Er 2.72-2.89
Se: 0.5000 0.5000 0.0000  4 Er 2.78
Se: 0.1644 0.2624 0.3288  3 Er 2.69-2.80
F: 0.5000 0.0000 0.0000  2 Er 2.15

Calculated values
Crystal system: monoclinic
Space group: No. 12
V: 312.21 Å³/cell
Electronic total energy: -5.72 eV/atom